[1]
Density functional theory data (PBE) for an optimized crystal structure of Tb6Zn5Ni. Values from VASP.

Values from the calculation:
Its total magnetization is 0.0 μB per formula unit. Its total energy is -3.67 eV per atom. The calculation puts the density of states at the Fermi level at 9.6 states/eV/cell.

Quantum ESPRESSO input file:
```
&SYSTEM
  ibrav = 0, nat = 12, ntyp = 3
/
ATOMIC_SPECIES
Zn 65.41 Zn.upf
Tb 158.93 Tb.upf
Ni 58.69 Ni.upf
CELL_PARAMETERS angstrom
-4.343 0.733 -2.426
2.220 -4.223 -5.250
-5.141 -5.582 2.316
ATOMIC_POSITIONS crystal
Zn 0.329 0.500 0.341
Zn 0.674 0.000 0.653
Zn 0.671 0.500 0.659
Zn 0.326 0.000 0.347
Zn 0.000 0.500 0.000
Tb 0.162 0.246 0.676
Tb 0.162 0.754 0.676
Tb 0.500 0.241 0.000
Tb 0.838 0.754 0.324
Tb 0.500 0.759 0.000
Tb 0.838 0.246 0.324
Ni 0.000 0.000 0.000
```

***

[2]
Density functional theory data (PBE) for an optimized crystal structure of Tb2Zn12Ni5. Values from VASP.

Values from the calculation:
Its total magnetization is 0.0 μB per formula unit. Its total energy is -3.10 eV per atom. The calculation puts the density of states at the Fermi level at 9.8 states/eV/cell.

Quantum ESPRESSO input file:
```
&SYSTEM
  ibrav = 0, nat = 19, ntyp = 3
/
ATOMIC_SPECIES
Ni 58.69 Ni.upf
Tb 158.93 Tb.upf
Zn 65.41 Zn.upf
CELL_PARAMETERS angstrom
6.580 0.080 0.641
0.589 6.554 0.641
0.087 0.080 6.611
ATOMIC_POSITIONS crystal
Ni 0.500 0.000 0.000
Ni 0.102 0.102 0.102
Ni 0.898 0.898 0.898
Ni 0.000 0.000 0.500
Ni 0.000 0.500 0.000
Tb 0.669 0.669 0.669
Tb 0.331 0.331 0.331
Zn 0.345 0.859 0.345
Zn 0.859 0.345 0.345
Zn 0.655 0.655 0.141
Zn 0.000 0.287 0.713
Zn 0.713 0.287 0.000
Zn 0.287 0.713 0.000
Zn 0.655 0.141 0.655
Zn 0.000 0.713 0.287
Zn 0.287 0.000 0.713
Zn 0.141 0.655 0.655
Zn 0.345 0.345 0.859
Zn 0.713 0.000 0.287
```